A plane-wave DFT calculation with PBE-GGA was carried out for Al2GaTe6 after structural relaxation.

Results
The space-group type is C2/c, No. 15. As for the formation energy (no corrections): -1.9 eV per formula unit. For the total energy, the calculation gives -3.479 eV per atom. As for the total magnetic moment: 0.00 μB/atom. The value obtained for the density of states at the Fermi level is 7.6 states/eV/cell.

a b c (Å): 7.5420 9.4446 9.4446
angles (deg): 98.47 76.05 76.05
Fractional coordinates of all 18 atoms:
Al  0.1132  0.6379  0.7592
Al  0.3868  0.2408  0.3621
Al  0.8868  0.3621  0.2408
Al  0.6132  0.7592  0.6379
Ga  0.2500  0.1952  0.8048
Ga  0.7500  0.8048  0.1952
Te  0.3338  0.7086  0.5369
Te  0.1662  0.4631  0.2914
Te  0.6662  0.2914  0.4631
Te  0.8338  0.5369  0.7086
Te  0.8167  0.8835  0.4526
Te  0.6833  0.5474  0.1165
Te  0.1833  0.1165  0.5474
Te  0.3167  0.4526  0.8835
Te  0.0651  0.8430  0.0097
Te  0.4349  0.9903  0.1570
Te  0.9349  0.1570  0.9903
Te  0.5651  0.0097  0.8430



A plane-wave DFT calculation with PBE-GGA was carried out for DyThNi4 after structural relaxation.

Results
The space-group type is Pmmm, No. 47. For the total energy, the calculation gives -6.327 eV per atom. As for the total magnetic moment: 0.00 μB/atom. The value obtained for the density of states at the Fermi level is 8.4 states/eV/cell. The calculation puts the energy above the most stable polymorph in this dataset at 0 meV per atom.

a b c (Å): 3.7747 4.1217 6.9074
angles (deg): 90.00 90.00 89.99
Fractional coordinates of all 6 atoms:
Dy  0.9985  0.4973  0.9981
Th  0.9986  0.9973  0.4981
Ni  0.4985  0.9973  0.1651
Ni  0.4985  0.9973  0.8311
Ni  0.4987  0.4973  0.6693
Ni  0.4986  0.4973  0.3270



A plane-wave DFT calculation with PBE-GGA was carried out for HfIr3S after structural relaxation.

Results
The space-group type is Pm-3m, No. 221. As for the formation energy (no corrections): 1.6 eV per formula unit. For the total energy, the calculation gives -7.813 eV per atom. As for the total magnetic moment: 0.00 μB/atom. The value obtained for the density of states at the Fermi level is 7.1 states/eV/cell. The calculation puts the energy above the most stable polymorph in this dataset at 0 meV per atom.

a b c (Å): 4.4336 4.4336 4.4336
angles (deg): 90.00 90.00 90.00
Fractional coordinates of all 5 atoms:
S  0.0000  0.0000  0.0000
Ir  0.0000  0.5000  0.0000
Ir  0.0000  0.0000  0.5000
Ir  0.5000  0.0000  0.0000
Hf  0.5000  0.5000  0.5000



A plane-wave DFT calculation with PBE-GGA was carried out for Ca2AlIn2 after structural relaxation.

Results
The space-group type is P4/mbm, No. 127. For the total energy, the calculation gives -2.929 eV per atom. As for the total magnetic moment: 0.00 μB/atom. The value obtained for the density of states at the Fermi level is 9.0 states/eV/cell.

a b c (Å): 7.4674 7.4674 4.9726
angles (deg): 90.00 90.00 90.00
Fractional coordinates of all 10 atoms:
Ca  0.1702  0.6702  0.5000
Ca  0.6702  0.8298  0.5000
Ca  0.8298  0.3298  0.5000
Ca  0.3298  0.1702  0.5000
Al  0.0000  0.0000  0.0000
Al  0.5000  0.5000  0.0000
In  0.3615  0.8615  0.0000
In  0.8615  0.6385  0.0000
In  0.6385  0.1385  0.0000
In  0.1385  0.3615  0.0000



A plane-wave DFT calculation with PBE-GGA was carried out for Li2Co2Cl5 after structural relaxation.

Results
The space-group type is C2/m, No. 12. As for the formation energy (no corrections): -8.5 eV per formula unit. For the total energy, the calculation gives -3.969 eV per atom. As for the total magnetic moment: 0.56 μB/atom. The value obtained for the density of states at the Fermi level is 3.8 states/eV/cell.

a b c (Å): 3.7703 6.3951 9.8944
angles (deg): 103.41 100.98 90.00
Site moments in Bohr magnetons follow the coordinates.
Fractional coordinates of all 9 atoms:
Li  0.5954  0.3243  0.1908  0.00
Li  0.4046  0.6757  0.8092  0.00
Co  0.8921  0.0990  0.7841  2.18
Co  0.1079  0.9010  0.2159  2.18
Cl  0.6646  0.0624  0.3292  0.09
Cl  0.3354  0.9376  0.6708  0.09
Cl  0.8915  0.4542  0.7830  0.04
Cl  0.1085  0.5458  0.2170  0.04
Cl  0.0000  0.0000  0.0000  0.08



A plane-wave DFT calculation with PBE-GGA was carried out for Sm2NpSi4Pt3 after structural relaxation.

Results
The space-group type is P-4m2, No. 115. As for the formation energy (no corrections): -7.8 eV per formula unit. For the total energy, the calculation gives -7.004 eV per atom. As for the total magnetic moment: 0.38 μB/atom. The value obtained for the density of states at the Fermi level is 9.2 states/eV/cell.

a b c (Å): 4.2289 4.2289 10.9711
angles (deg): 90.00 90.00 90.00
Site moments in Bohr magnetons follow the coordinates.
Fractional coordinates of all 10 atoms:
Sm  0.5000  0.0000  0.2309  0.03
Sm  0.0000  0.5000  0.7691  0.03
Np  0.5000  0.5000  0.5000  3.58
Si  0.5000  0.5000  0.0000  0.00
Si  0.0000  0.0000  0.0000  0.00
Si  0.5000  0.0000  0.6709  -0.02
Si  0.0000  0.5000  0.3291  -0.02
Pt  0.0000  0.0000  0.5000  -0.07
Pt  0.5000  0.0000  0.8904  0.00
Pt  0.0000  0.5000  0.1096  0.00



A plane-wave DFT calculation with PBE-GGA was carried out for AlOs2Pt after structural relaxation.

Results
The space-group type is Cmmm, No. 65. For the total energy, the calculation gives -8.060 eV per atom. As for the total magnetic moment: 0.00 μB/atom. The value obtained for the density of states at the Fermi level is 4.4 states/eV/cell.

a b c (Å): 4.7364 4.7364 2.7722
angles (deg): 90.00 90.00 110.30
Fractional coordinates of all 4 atoms:
Os  0.0000  0.0000  0.0000
Os  0.5000  0.5000  0.0000
Al  0.0000  0.5000  0.5000
Pt  0.5000  0.0000  0.5000



A plane-wave DFT calculation with PBE-GGA was carried out for YNpTl2O8 after structural relaxation.

Results
The space-group type is Cmmm, No. 65. As for the formation energy (no corrections): -23.2 eV per formula unit. For the total energy, the calculation gives -7.247 eV per atom. As for the total magnetic moment: 0.00 μB/atom.

a b c (Å): 5.2311 5.2292 6.8417
angles (deg): 90.00 90.00 92.60
Fractional coordinates of all 12 atoms:
Y  0.0000  0.0000  0.5000
Np  0.0000  0.0000  0.0000
Tl  0.5000  0.5000  0.7471
Tl  0.5000  0.5000  0.2529
O  0.1715  0.8280  0.2191
O  0.7033  0.7039  0.0000
O  0.8285  0.1720  0.2191
O  0.8285  0.1720  0.7809
O  0.2967  0.2961  0.0000
O  0.1715  0.8280  0.7809
O  0.6953  0.6959  0.5000
O  0.3047  0.3041  0.5000



A plane-wave DFT calculation with PBE-GGA was carried out for SrMn3B after structural relaxation.

Results
The space-group type is Pm-3m, No. 221. For the total energy, the calculation gives -4.306 eV per atom. As for the total magnetic moment: 2.40 μB/atom. The value obtained for the density of states at the Fermi level is 3.5 states/eV/cell. The calculation puts the energy above the most stable polymorph in this dataset at 2433 meV per atom.

a b c (Å): 5.1832 5.1832 5.1832
angles (deg): 90.00 90.00 90.00
Site moments in Bohr magnetons follow the coordinates.
Fractional coordinates of all 5 atoms:
Sr  0.0000  0.0000  0.0000  -0.14
B  0.5000  0.5000  0.5000  -0.06
Mn  0.0000  0.5000  0.0000  3.88
Mn  0.0000  0.0000  0.5000  3.51
Mn  0.5000  0.0000  0.0000  4.23



A plane-wave DFT calculation with PBE-GGA was carried out for CsBa2Sn6 after structural relaxation.

Results
The space-group type is Immm, No. 71. For the total energy, the calculation gives -3.538 eV per atom. As for the total magnetic moment: 0.00 μB/atom. The value obtained for the density of states at the Fermi level is 4.1 states/eV/cell.

a b c (Å): 9.1511 9.1511 9.1511
angles (deg): 149.62 99.36 88.55
Fractional coordinates of all 9 atoms:
Cs  0.4986  0.9986  0.5000
Ba  0.8359  0.8359  0.0000
Ba  0.1607  0.1607  0.0000
Sn  0.4509  0.6774  0.7735
Sn  0.5458  0.3194  0.2264
Sn  0.0931  0.3194  0.7736
Sn  0.8665  0.4984  0.3682
Sn  0.1302  0.4984  0.6318
Sn  0.9040  0.6774  0.2265



A plane-wave DFT calculation with PBE-GGA was carried out for SrSi after structural relaxation.

Results
The space-group type is Amm2, No. 38. As for the formation energy (no corrections): -0.3 eV per formula unit. For the total energy, the calculation gives -3.719 eV per atom. As for the total magnetic moment: 0.00 μB/atom. The value obtained for the density of states at the Fermi level is 6.9 states/eV/cell.

a b c (Å): 6.2979 5.2511 8.1384
angles (deg): 90.00 90.00 90.00
Fractional coordinates of all 8 atoms:
Sr  0.0000  0.0000  0.7246
Sr  0.0000  0.5000  0.2246
Sr  0.5000  0.0000  0.0404
Sr  0.5000  0.5000  0.5404
Si  0.6857  0.0000  0.3979
Si  0.3143  0.0000  0.3979
Si  0.6857  0.5000  0.8979
Si  0.3143  0.5000  0.8979



A plane-wave DFT calculation with PBE-GGA was carried out for BeInP2 after structural relaxation.

Results
The space-group type is P2/m, No. 10. For the total energy, the calculation gives -4.179 eV per atom. As for the total magnetic moment: 0.00 μB/atom. The value obtained for the density of states at the Fermi level is 1.7 states/eV/cell.

a b c (Å): 3.5067 4.0813 5.1840
angles (deg): 73.94 90.00 90.00
Fractional coordinates of all 4 atoms:
P  0.0000  0.0081  0.1072
P  0.0000  0.4919  0.3928
Be  0.5000  0.2500  0.2500
In  0.5000  0.7500  0.7500